(1)
DFT (PBE) results for a relaxed structure of DyEr2Pd2.

abc: 7.7543 7.7543 3.9286
angles: 90.00 90.00 90.00
Positions (direct):
Dy 0.0000 0.0000 0.0000
Dy 0.5000 0.5000 0.0000
Er 0.1637 0.3363 0.5000
Er 0.3363 0.8363 0.5000
Er 0.6637 0.1637 0.5000
Er 0.8363 0.6637 0.5000
Pd 0.1333 0.6333 0.0000
Pd 0.3667 0.1333 0.0000
Pd 0.6333 0.8667 0.0000
Pd 0.8667 0.3667 0.0000

Summary:
The density of states at the Fermi level is 0.84 states/eV per atom. For the spin magnetization, the calculation gives 0.000 μB/cell. Its energy above the most stable polymorph in this dataset is 0.000 eV/f.u.

(2)
DFT (PBE) results for a relaxed structure of Dy4ErPd15.

abc: 4.1096 4.1096 20.6914
angles: 90.00 90.00 90.00
Positions (direct):
Dy 0.0000 0.0000 0.1002
Dy 0.0000 0.0000 0.3007
Dy 0.0000 0.0000 0.6993
Dy 0.0000 0.0000 0.8998
Er 0.0000 0.0000 0.5000
Pd 0.0000 0.5000 0.0000
Pd 0.0000 0.5000 0.2004
Pd 0.0000 0.5000 0.4009
Pd 0.0000 0.5000 0.5991
Pd 0.0000 0.5000 0.7996
Pd 0.5000 0.0000 0.0000
Pd 0.5000 0.0000 0.2004
Pd 0.5000 0.0000 0.4009
Pd 0.5000 0.0000 0.5991
Pd 0.5000 0.0000 0.7996
Pd 0.5000 0.5000 0.1002
Pd 0.5000 0.5000 0.3006
Pd 0.5000 0.5000 0.5000
Pd 0.5000 0.5000 0.6994
Pd 0.5000 0.5000 0.8998

Summary:
The density of states at the Fermi level is 0.62 states/eV per atom. For the spin magnetization, the calculation gives 0.000 μB/cell.

(3)
DFT (PBE) results for a relaxed structure of DyErPd6.

abc: 4.1138 4.1138 8.2256
angles: 90.00 90.00 90.00
Positions (direct):
Dy 0.0000 0.0000 0.0000
Er 0.0000 0.0000 0.5000
Pd 0.0000 0.5000 0.2516
Pd 0.0000 0.5000 0.7484
Pd 0.5000 0.0000 0.2516
Pd 0.5000 0.0000 0.7484
Pd 0.5000 0.5000 0.0000
Pd 0.5000 0.5000 0.5000

Summary:
The density of states at the Fermi level is 0.77 states/eV per atom. For the spin magnetization, the calculation gives 0.000 μB/cell.

(4)
DFT (PBE) results for a relaxed structure of DyEr6Pd2.

abc: 8.1780 8.1780 10.7210
angles: 128.01 128.01 25.79
Positions (direct):
Dy 0.0000 0.0000 0.0000
Er 0.0331 0.0331 0.6896
Er 0.2872 0.2872 0.3903
Er 0.3065 0.3065 0.9462
Er 0.6935 0.6935 0.0538
Er 0.7128 0.7128 0.6097
Er 0.9669 0.9669 0.3104
Pd 0.4051 0.4051 0.7324
Pd 0.5949 0.5949 0.2676

Summary:
The density of states at the Fermi level is 1.09 states/eV per atom. For the spin magnetization, the calculation gives 0.003 μB/cell.

Number 1: energy of formation -0.748 eV/atom. Number 2: energy of formation -0.886 eV/atom. Number 3: energy of formation -0.885 eV/atom. Number 4: energy of formation -0.384 eV/atom.